Entry 1:
A plane-wave DFT calculation with GGA-PBE was carried out for a relaxed B5C7 crystal.

Unit cell a=4.6207 b=4.6200 c=4.6785 alpha=100.13 beta=101.57 gamma=119.28
Last column: nearest neighbours and their distance in Å.
Atoms (fractional coordinates):
C 0.0178 0.0067 0.9856  2 C 1.53-1.54, 2 B 1.60-1.62
C 0.8862 0.8704 0.6317  2 C 1.54-1.58, 2 B 1.62-1.63
C 0.6546 0.3396 0.9947  2 C 1.55-1.58, 2 B 1.59-1.60
C 0.2027 0.5511 0.6090  1 C 1.55, 3 B 1.59-1.69
C 0.3704 0.3582 0.1206  2 C 1.53-1.58, 2 B 1.57-1.64
B 0.5068 0.5019 0.4976  4 C 1.62-1.71
B 0.7219 0.0525 0.0817  2 C 1.60-1.62, 1 B 1.75
B 0.3506 0.6281 0.9686  2 C 1.57-1.59, 1 B 1.75
B 0.9954 0.7250 0.1507  3 C 1.58-1.60
C 0.5302 0.1939 0.6390  2 C 1.54-1.55, 2 B 1.58-1.71
C 0.1714 0.8413 0.5120  3 C 1.54-1.58, 1 B 1.58
B 0.8420 0.1814 0.5588  3 C 1.58-1.63

Formation energy from the elements in eV per atom: 0.392
Energy relative to the lowest polymorph listed for this composition in kJ per mole of atoms: 12.9

Entry 2:
A plane-wave DFT calculation with GGA-PBE was carried out for a relaxed GaTe2H crystal.

Unit cell a=4.8735 b=4.8735 c=4.8735 alpha=60.00 beta=60.00 gamma=60.00
Last column: nearest neighbours and their distance in Å.
Atoms (fractional coordinates):
Ga 0.5000 0.5000 0.5000  8 Te 2.98
Te 0.7500 0.7500 0.7500  4 Ga 2.98, 4 H 2.98
H 0.0000 0.0000 0.0000  8 Te 2.98
Te 0.2500 0.2500 0.2500  4 H 2.98, 4 Ga 2.98

Energy relative to the lowest polymorph listed for this composition in kJ per mole of atoms: 42.0

Entry 3:
A plane-wave DFT calculation with GGA-PBE was carried out for a relaxed CaLa2Se crystal.

Unit cell a=9.2298 b=9.2298 c=7.2555 alpha=50.50 beta=50.50 gamma=90.00
Last column: nearest neighbours and their distance in Å.
Atoms (fractional coordinates):
La 0.3750 0.3129 0.7500  2 Se 2.99
Ca 0.2500 0.7500 0.5000  2 Se 3.17
Se 0.0000 0.0000 0.0000  4 La 2.99, 2 Ca 3.17
La 0.8750 0.9371 0.7500  2 Se 2.99
Ca 0.5000 0.5000 0.0000  2 Se 3.17
La 0.6871 0.1250 0.2500  2 Se 2.99
La 0.0629 0.6250 0.2500  2 Se 2.99
Se 0.7500 0.2500 0.5000  4 La 2.99, 2 Ca 3.17

Energy relative to the elements, uncorrected in eV/atom: -0.63

Entry 4:
A plane-wave DFT calculation with GGA-PBE was carried out for a relaxed HgP2SO crystal.

Unit cell a=4.8185 b=4.8185 c=3.4665 alpha=90.00 beta=90.00 gamma=90.00
Last column: nearest neighbours and their distance in Å.
Atoms (fractional coordinates):
P 0.0000 0.5000 0.0000  2 S 2.41
Hg 0.5000 0.5000 0.5000  8 P 2.97
P 0.5000 0.0000 0.0000  2 S 2.41
S 0.0000 0.0000 0.0000  2 O 1.73
O 0.0000 0.0000 0.5000  2 S 1.73

Energy relative to the elements, uncorrected in eV/atom: 0.51
Energy relative to the lowest polymorph listed for this composition in kJ per mole of atoms: 0.0

Entry 5:
A plane-wave DFT calculation with GGA-PBE was carried out for a relaxed CdWCl2 crystal.

Unit cell a=5.6882 b=5.6882 c=2.9899 alpha=70.54 beta=70.54 gamma=106.65
Last column: nearest neighbours and their distance in Å.
Atoms (fractional coordinates):
Cl 0.5000 0.5000 0.0000  2 Cd 2.74, 2 W 2.74, 4 Cl 2.99-3.03
W 0.5000 0.0000 0.5000  4 Cl 2.74, 2 W 2.99, 2 Cd 3.03
Cd 0.0000 0.5000 0.5000  4 Cl 2.74, 2 Cd 2.99, 2 W 3.03
Cl 0.0000 0.0000 0.0000  2 W 2.74, 2 Cd 2.74, 4 Cl 2.99-3.03

Energy relative to the elements, uncorrected in eV/atom: 0.61
Energy relative to the lowest polymorph listed for this composition in kJ per mole of atoms: 65.4

Entry 6:
A plane-wave DFT calculation with GGA-PBE was carried out for a relaxed AcIn2Te3 crystal.

Unit cell a=4.4923 b=7.7250 c=11.7482 alpha=90.00 beta=90.00 gamma=90.00
Last column: nearest neighbours and their distance in Å.
Atoms (fractional coordinates):
Te 0.0000 0.7385 0.6254  3 In 2.97-3.13
Te 0.0000 0.2385 0.3746  3 In 2.97-3.13
In 0.5000 0.5106 0.5164  4 Te 3.03-3.17
Ac 0.0000 0.0332 0.8784  7 Te 3.35-3.74, 2 In 3.53-3.65
Ac 0.0000 0.5332 0.1216  7 Te 3.35-3.74, 2 In 3.53-3.65
In 0.5000 0.0106 0.4836  4 Te 3.03-3.17
Te 0.5000 0.2148 0.7040  4 In 3.03-3.30, 2 Ac 3.35
Te 0.5000 0.2246 0.0546  2 In 3.33, 4 Ac 3.37-3.39
Te 0.5000 0.7246 0.9454  2 In 3.33, 4 Ac 3.37-3.39
Te 0.5000 0.7148 0.2960  4 In 3.03-3.30, 2 Ac 3.35
In 0.0000 0.4795 0.8128  5 Te 2.97-3.33
In 0.0000 0.9795 0.1872  5 Te 2.97-3.33

Energy relative to the elements, uncorrected in eV/atom: -0.78